First-principles (GGA-PBE) data for a relaxed LiHfCuTe2S crystal, as listed in the Open Quantum Materials Database.

Cell: 7.350 7.350 9.961 Å, 90.00 90.00 149.62°
Element x y z (fractional)
Cu: 0.475 0.525 0.250
Cu: 0.525 0.475 0.750
Hf: 0.000 0.000 0.000
Hf: 0.000 0.000 0.500
Li: 0.686 0.314 0.250
Li: 0.314 0.686 0.750
S: 0.066 0.934 0.250
S: 0.934 0.066 0.750
Te: 0.353 0.647 0.057
Te: 0.353 0.647 0.443
Te: 0.647 0.353 0.557
Te: 0.647 0.353 0.943

## Properties
SG = No. 63
Electronic total energy = -5.1265 eV per atom

=====

First-principles (GGA-PBE) data for a relaxed LiHfCuTeS2 crystal, as listed in the Open Quantum Materials Database.

Cell: 6.839 6.839 10.139 Å, 90.00 90.00 148.87°
Element x y z (fractional)
Cu: 0.521 0.479 0.250
Cu: 0.479 0.521 0.750
Hf: 0.000 0.000 0.000
Hf: 0.000 0.000 0.500
Li: 0.186 0.814 0.250
Li: 0.814 0.186 0.750
S: 0.624 0.376 0.071
S: 0.624 0.376 0.429
S: 0.376 0.624 0.571
S: 0.376 0.624 0.929
Te: 0.882 0.118 0.250
Te: 0.118 0.882 0.750

## Properties
SG = No. 63
Electronic total energy = -5.4987 eV per atom

=====

First-principles (GGA-PBE) data for a relaxed LiHfCuSe3 crystal, as listed in the Open Quantum Materials Database.

Cell: 7.432 3.747 9.167 Å, 90.00 105.48 90.00°
Element x y z (fractional)
Cu: 0.585 0.250 0.091
Cu: 0.415 0.750 0.909
Hf: 0.809 0.750 0.325
Hf: 0.191 0.250 0.675
Li: 0.232 0.750 0.198
Li: 0.768 0.250 0.802
Se: 0.771 0.750 0.030
Se: 0.568 0.250 0.349
Se: 0.082 0.250 0.359
Se: 0.918 0.750 0.641
Se: 0.432 0.750 0.651
Se: 0.229 0.250 0.970

## Properties
SG = No. 11
Offset from the most stable computed form = 3 meV per atom

=====

First-principles (GGA-PBE) data for a relaxed LiHfCuSe3 crystal, as listed in the Open Quantum Materials Database.

Cell: 12.662 3.752 10.216 Å, 90.00 90.00 90.00°
Element x y z (fractional)
Cu: 0.993 0.750 0.089
Cu: 0.493 0.750 0.411
Cu: 0.507 0.250 0.589
Cu: 0.007 0.250 0.911
Hf: 0.494 0.250 0.179
Hf: 0.994 0.250 0.321
Hf: 0.006 0.750 0.679
Hf: 0.506 0.750 0.821
Li: 0.782 0.250 0.048
Li: 0.282 0.250 0.452
Li: 0.718 0.750 0.548
Li: 0.218 0.750 0.952
Se: 0.614 0.750 0.059
Se: 0.120 0.250 0.118
Se: 0.355 0.750 0.248
Se: 0.855 0.750 0.252
Se: 0.620 0.250 0.382
Se: 0.114 0.750 0.441
Se: 0.886 0.250 0.559
Se: 0.380 0.750 0.618
Se: 0.145 0.250 0.748
Se: 0.645 0.250 0.752
Se: 0.880 0.750 0.882
Se: 0.386 0.250 0.941

## Properties
SG = No. 62
Offset from the most stable computed form = 0 meV per atom

=====

First-principles (GGA-PBE) data for a relaxed LiHfCuSe3 crystal, as listed in the Open Quantum Materials Database.

Cell: 6.741 6.741 10.029 Å, 90.00 90.00 147.63°
Element x y z (fractional)
Cu: 0.475 0.525 0.250
Cu: 0.525 0.475 0.750
Hf: 0.000 0.000 0.000
Hf: 0.000 0.000 0.500
Li: 0.766 0.234 0.250
Li: 0.234 0.766 0.750
Se: 0.360 0.640 0.062
Se: 0.095 0.905 0.250
Se: 0.360 0.640 0.438
Se: 0.640 0.360 0.562
Se: 0.905 0.095 0.750
Se: 0.640 0.360 0.938

## Properties
SG = No. 63
Offset from the most stable computed form = 24 meV per atom

=====

First-principles (GGA-PBE) data for a relaxed LiHfCuSe3 crystal, as listed in the Open Quantum Materials Database.

Cell: 8.925 8.925 7.716 Å, 100.98 100.98 24.17°
Element x y z (fractional)
Cu: 0.546 0.546 0.221
Cu: 0.454 0.454 0.779
Hf: 0.163 0.163 0.088
Hf: 0.837 0.837 0.912
Li: 0.900 0.900 0.436
Li: 0.100 0.100 0.564
Se: 0.000 0.000 0.000
Se: 0.325 0.325 0.155
Se: 0.682 0.682 0.336
Se: 0.500 0.500 0.500
Se: 0.318 0.318 0.664
Se: 0.675 0.675 0.845

## Properties
SG = No. 12
Offset from the most stable computed form = 95 meV per atom

=====

First-principles (GGA-PBE) data for a relaxed LiHfCuSe3 crystal, as listed in the Open Quantum Materials Database.

Cell: 10.018 3.751 12.875 Å, 90.00 90.00 90.00°
Element x y z (fractional)
Cu: 0.242 0.750 0.224
Cu: 0.742 0.750 0.276
Cu: 0.258 0.250 0.724
Cu: 0.758 0.250 0.776
Hf: 0.490 0.250 0.247
Hf: 0.990 0.250 0.253
Hf: 0.010 0.750 0.747
Hf: 0.510 0.750 0.753
Li: 0.233 0.250 0.023
Li: 0.733 0.250 0.477
Li: 0.267 0.750 0.523
Li: 0.767 0.750 0.977
Se: 0.429 0.750 0.107
Se: 0.052 0.750 0.111
Se: 0.741 0.250 0.155
Se: 0.241 0.250 0.345
Se: 0.552 0.750 0.389
Se: 0.929 0.750 0.393
Se: 0.071 0.250 0.607
Se: 0.448 0.250 0.611
Se: 0.759 0.750 0.655
Se: 0.259 0.750 0.845
Se: 0.948 0.250 0.889
Se: 0.571 0.250 0.893

## Properties
SG = No. 62
Offset from the most stable computed form = 25 meV per atom

=====

First-principles (GGA-PBE) data for a relaxed LiHfCuSe3 crystal, as listed in the Open Quantum Materials Database.

Cell: 7.537 3.947 16.242 Å, 90.00 90.00 90.00°
Element x y z (fractional)
Cu: 0.615 0.250 0.151
Cu: 0.115 0.250 0.349
Cu: 0.885 0.750 0.651
Cu: 0.385 0.750 0.849
Hf: 0.243 0.250 0.051
Hf: 0.743 0.250 0.449
Hf: 0.257 0.750 0.551
Hf: 0.757 0.750 0.949
Li: 0.932 0.750 0.244
Li: 0.432 0.750 0.256
Li: 0.568 0.250 0.744
Li: 0.068 0.250 0.756
Se: 0.870 0.250 0.052
Se: 0.497 0.750 0.081
Se: 0.185 0.250 0.208
Se: 0.685 0.250 0.292
Se: 0.997 0.750 0.419
Se: 0.370 0.250 0.448
Se: 0.630 0.750 0.552
Se: 0.003 0.250 0.581
Se: 0.315 0.750 0.708
Se: 0.815 0.750 0.792
Se: 0.503 0.250 0.919
Se: 0.130 0.750 0.948

## Properties
SG = No. 62
Offset from the most stable computed form = 147 meV per atom

=====

First-principles (GGA-PBE) data for a relaxed LiHfCuSe3 crystal, as listed in the Open Quantum Materials Database.

Cell: 11.661 3.782 11.116 Å, 90.00 90.00 90.00°
Element x y z (fractional)
Cu: 0.750 0.250 0.214
Cu: 0.250 0.250 0.286
Cu: 0.750 0.750 0.714
Cu: 0.250 0.750 0.786
Hf: 0.058 0.750 0.175
Hf: 0.558 0.750 0.325
Hf: 0.442 0.250 0.675
Hf: 0.942 0.250 0.825
Li: 0.659 0.750 0.006
Li: 0.159 0.750 0.494
Li: 0.841 0.250 0.506
Li: 0.341 0.250 0.994
Se: 0.916 0.250 0.081
Se: 0.554 0.250 0.148
Se: 0.276 0.750 0.149
Se: 0.776 0.750 0.351
Se: 0.054 0.250 0.352
Se: 0.416 0.250 0.419
Se: 0.584 0.750 0.581
Se: 0.946 0.750 0.648
Se: 0.224 0.250 0.649
Se: 0.724 0.250 0.851
Se: 0.446 0.750 0.852
Se: 0.084 0.750 0.919

## Properties
SG = No. 62
Offset from the most stable computed form = 86 meV per atom

=====

First-principles (GGA-PBE) data for a relaxed LiHfCuSe3 crystal, as listed in the Open Quantum Materials Database.

Cell: 6.673 6.673 10.002 Å, 90.00 90.00 32.50°
Element x y z (fractional)
Cu: 0.026 0.026 0.250
Cu: 0.974 0.974 0.750
Hf: 0.500 0.500 0.000
Hf: 0.500 0.500 0.500
Li: 0.726 0.726 0.250
Li: 0.274 0.274 0.750
Se: 0.142 0.142 0.062
Se: 0.404 0.404 0.250
Se: 0.142 0.142 0.438
Se: 0.858 0.858 0.562
Se: 0.596 0.596 0.750
Se: 0.858 0.858 0.938

## Properties
SG = No. 63
Offset from the most stable computed form = 26 meV per atom

=====

First-principles (GGA-PBE) data for a relaxed LiHfCuTeSe2 crystal, as listed in the Open Quantum Materials Database.

Cell: 6.932 6.932 10.375 Å, 90.00 90.00 148.40°
Element x y z (fractional)
Cu: 0.525 0.475 0.250
Cu: 0.475 0.525 0.750
Hf: 0.000 0.000 0.000
Hf: 0.000 0.000 0.500
Li: 0.192 0.808 0.250
Li: 0.808 0.192 0.750
Se: 0.635 0.365 0.065
Se: 0.635 0.365 0.435
Se: 0.365 0.635 0.565
Se: 0.365 0.635 0.935
Te: 0.892 0.108 0.250
Te: 0.108 0.892 0.750

## Properties
SG = No. 63
Electronic total energy = -5.1857 eV per atom

=====

First-principles (GGA-PBE) data for a relaxed LiHfCuTe2Se crystal, as listed in the Open Quantum Materials Database.

Cell: 7.220 7.220 10.213 Å, 90.00 90.00 148.54°
Element x y z (fractional)
Cu: 0.477 0.523 0.250
Cu: 0.523 0.477 0.750
Hf: 0.000 0.000 0.000
Hf: 0.000 0.000 0.500
Li: 0.742 0.258 0.250
Li: 0.258 0.742 0.750
Se: 0.082 0.918 0.250
Se: 0.918 0.082 0.750
Te: 0.354 0.646 0.060
Te: 0.354 0.646 0.440
Te: 0.646 0.354 0.560
Te: 0.646 0.354 0.940

## Properties
SG = No. 63
Electronic total energy = -4.9651 eV per atom

=====

First-principles (GGA-PBE) data for a relaxed LiHfCuSi crystal, as listed in the Open Quantum Materials Database.

Cell: 4.290 4.290 4.290 Å, 60.00 60.00 60.00°
Element x y z (fractional)
Cu: 0.750 0.750 0.750
Hf: 0.500 0.500 0.500
Li: 0.250 0.250 0.250
Si: 0.000 0.000 0.000

## Properties
SG = No. 216
Offset from the most stable computed form = 40 meV per atom

=====

First-principles (GGA-PBE) data for a relaxed LiHfCuSi crystal, as listed in the Open Quantum Materials Database.

Cell: 4.346 4.346 4.346 Å, 60.00 60.00 60.00°
Element x y z (fractional)
Cu: 0.750 0.750 0.750
Hf: 0.250 0.250 0.250
Li: 0.500 0.500 0.500
Si: 0.000 0.000 0.000

## Properties
SG = No. 216
Offset from the most stable computed form = 0 meV per atom

=====

First-principles (GGA-PBE) data for a relaxed LiHfCuTe3 crystal, as listed in the Open Quantum Materials Database.

Cell: 7.270 7.270 10.672 Å, 90.00 90.00 31.53°
Element x y z (fractional)
Cu: 0.473 0.473 0.250
Cu: 0.527 0.527 0.750
Hf: 0.000 0.000 0.000
Hf: 0.000 0.000 0.500
Li: 0.784 0.784 0.250
Li: 0.216 0.216 0.750
Te: 0.357 0.357 0.061
Te: 0.094 0.094 0.250
Te: 0.357 0.357 0.439
Te: 0.643 0.643 0.561
Te: 0.906 0.906 0.750
Te: 0.643 0.643 0.939

## Properties
SG = No. 63
Offset from the most stable computed form = 22 meV per atom

=====

First-principles (GGA-PBE) data for a relaxed LiHfCu3Te4 crystal, as listed in the Open Quantum Materials Database.

Cell: 6.172 8.315 9.182 Å, 90.00 95.40 90.00°
Element x y z (fractional)
Cu: 0.789 0.507 0.003
Cu: 0.789 0.993 0.003
Cu: 0.290 0.250 0.207
Cu: 0.710 0.750 0.793
Cu: 0.211 0.007 0.997
Cu: 0.211 0.493 0.997
Hf: 0.778 0.250 0.228
Hf: 0.222 0.750 0.772
Li: 0.713 0.750 0.321
Li: 0.287 0.250 0.679
Te: 0.490 0.750 0.034
Te: 0.045 0.515 0.250
Te: 0.045 0.985 0.250
Te: 0.542 0.250 0.453
Te: 0.458 0.750 0.547
Te: 0.955 0.015 0.750
Te: 0.955 0.485 0.750
Te: 0.510 0.250 0.966

## Properties
SG = No. 11
Offset from the most stable computed form = 79 meV per atom

=====

First-principles (GGA-PBE) data for a relaxed LiHfCuTe3 crystal, as listed in the Open Quantum Materials Database.

Cell: 7.952 3.990 9.808 Å, 90.00 105.18 90.00°
Element x y z (fractional)
Cu: 0.584 0.250 0.089
Cu: 0.416 0.750 0.911
Hf: 0.805 0.750 0.317
Hf: 0.195 0.250 0.683
Li: 0.242 0.750 0.204
Li: 0.758 0.250 0.796
Te: 0.770 0.750 0.024
Te: 0.560 0.250 0.349
Te: 0.083 0.250 0.363
Te: 0.917 0.750 0.637
Te: 0.440 0.750 0.651
Te: 0.230 0.250 0.976

## Properties
SG = No. 11
Offset from the most stable computed form = 0 meV per atom

=====

First-principles (GGA-PBE) data for a relaxed LiHfCu3Te4 crystal, as listed in the Open Quantum Materials Database.

Cell: 6.145 6.145 6.145 Å, 90.00 90.00 90.00°
Element x y z (fractional)
Cu: 0.500 0.000 0.000
Cu: 0.000 0.500 0.000
Cu: 0.000 0.000 0.500
Hf: 0.000 0.000 0.000
Li: 0.500 0.500 0.500
Te: 0.747 0.253 0.253
Te: 0.253 0.747 0.253
Te: 0.253 0.253 0.747
Te: 0.747 0.747 0.747

## Properties
SG = No. 215
Offset from the most stable computed form = 0 meV per atom